(1)
Density functional theory data (PBE) for crystalline PuMg2SnAu4 at its relaxed geometry.

abc: 9.6501 9.6501 9.6501
angles: 27.69 27.69 27.69
With the nearest neighbours (Å) after each atom.
Positions (direct):
Pu (0.0000, 0.0000, 0.0000)  8 Au 3.09-3.28
Mg (0.2453, 0.2453, 0.2453)  6 Au 2.79-2.81
Mg (0.7547, 0.7547, 0.7547)  6 Au 2.79-2.81
Sn (0.5000, 0.5000, 0.5000)  8 Au 2.99-3.08
Au (0.1178, 0.1178, 0.1178)  3 Mg 2.79, 3 Sn 2.99
Au (0.3892, 0.3892, 0.3892)  3 Mg 2.81, 1 Sn 3.08, 3 Pu 3.09
Au (0.6108, 0.6108, 0.6108)  3 Mg 2.81, 1 Sn 3.08, 3 Pu 3.09
Au (0.8822, 0.8822, 0.8822)  3 Mg 2.79, 3 Sn 2.99

Density of states at the Fermi level   2.178 states/eV/atom
Space-group type   R-3m
E_form   -0.402 eV per atom

(2)
Density functional theory data (PBE) for crystalline Rb2Cl3F6 at its relaxed geometry.

abc: 6.2214 6.2214 13.9467
angles: 104.16 104.16 84.29
With the nearest neighbours (Å) after each atom.
Positions (direct):
Rb (0.2081, 0.2230, 0.4667)  6 F 2.82-3.05
Rb (0.2230, 0.2081, 0.9667)  6 F 2.82-3.05
Rb (0.7770, 0.7919, 0.0333)  6 F 2.82-3.05
Rb (0.7919, 0.7770, 0.5333)  6 F 2.82-3.05
Cl (0.0753, 0.6035, 0.2627)  2 F 1.84-1.85
Cl (0.3042, 0.6958, 0.7500)  2 F 1.84
Cl (0.3965, 0.9247, 0.2373)  2 F 1.84-1.85
Cl (0.6035, 0.0753, 0.7627)  2 F 1.84-1.85
Cl (0.6958, 0.3042, 0.2500)  2 F 1.84
Cl (0.9247, 0.3965, 0.7373)  2 F 1.84-1.85
F (0.0505, 0.4754, 0.1272)  1 Cl 1.84
F (0.1015, 0.7328, 0.3989)  1 Cl 1.85
F (0.2426, 0.6352, 0.6105)  1 Cl 1.84
F (0.2672, 0.8985, 0.1011)  1 Cl 1.85
F (0.3648, 0.7574, 0.8895)  1 Cl 1.84
F (0.4754, 0.0505, 0.6272)  1 Cl 1.84
F (0.5246, 0.9495, 0.3728)  1 Cl 1.84
F (0.6352, 0.2426, 0.1105)  1 Cl 1.84
F (0.7328, 0.1015, 0.8989)  1 Cl 1.85
F (0.7574, 0.3648, 0.3895)  1 Cl 1.84
F (0.8985, 0.2672, 0.6011)  1 Cl 1.85
F (0.9495, 0.5246, 0.8728)  1 Cl 1.84

Density of states at the Fermi level   0.308 states/eV/atom
Space-group type   C2/c
Formation energy from raw total energies   -133 kJ per mole of atoms

(3)
Density functional theory data (PBE) for crystalline CaSnS2 at its relaxed geometry.

abc: 5.7791 4.0909 4.0909
angles: 89.99 90.00 90.00
With the nearest neighbours (Å) after each atom.
Positions (direct):
Ca (0.0000, 0.0000, 0.0000)  6 S 2.89
Sn (0.5000, 0.4978, 0.4978)  6 S 2.87-2.92
S (0.0000, 0.4998, 0.4998)  2 Sn 2.89, 4 Ca 2.89
S (0.5000, 0.0022, 0.0022)  4 Sn 2.87-2.92, 2 Ca 2.89

Space-group type   Amm2
Formation energy from raw total energies   -124 kJ per mole of atoms

| no. | volume (Å³ per cell) |
| --- | --- |
| 1 | 171.33 |
| 2 | 507.06 |
| 3 | 96.72 |